VASP calculation (PBE+U) on Na2Co2F after structural relaxation.

Properties
VASP energy ... -3.42 eV/atom
Energy relative to the lowest polymorph listed for this composition ... 0.00 eV/f.u.

Unit cell a=3.2022 b=3.2022 c=8.4015 alpha=79.01 beta=79.01 gamma=90.00
With the nearest neighbours (Å) after each atom.
Positions (direct):
Na: 0.5862 0.5862 0.8276  4 F 2.66, 1 Na 2.79
Na: 0.4138 0.4138 0.1724  4 F 2.66, 1 Na 2.79
Co: 0.2500 0.7500 0.5000  4 Co 2.26
Co: 0.7500 0.2500 0.5000  4 Co 2.26
F: 0.0000 0.0000 0.0000  8 Na 2.66